[1]
A geometry-optimized Zn4Tc3 structure, computed with PBE.

Values from the calculation:
total energy: -34.369 eV for the cell shown
theoretical density: 8.48 g/cm³

Cell: 5.120 5.120 4.795 Å, 90.00 90.00 120.00°
Sites, in units of the cell vectors:
Zn1 0.000 0.000 0.246
Zn2 0.000 0.000 0.754
Zn3 0.333 0.667 0.500
Zn4 0.667 0.333 0.500
Tc1 0.000 0.500 0.000
Tc2 0.500 0.000 0.000
Tc3 0.500 0.500 0.000

---

[2]
A geometry-optimized Zn4Tc structure, computed with PBE.

Values from the calculation:
total energy: -13.763 eV for the cell shown
theoretical density: 7.91 g/cm³

Cell: 6.493 6.493 6.493 Å, 148.27 148.27 45.48°
Sites, in units of the cell vectors:
Zn1 0.097 0.097 0.000
Zn2 0.250 0.750 0.500
Zn3 0.750 0.250 0.500
Zn4 0.903 0.903 0.000
Tc1 0.500 0.500 0.000

---

[3]
A geometry-optimized Zn3Tc structure, computed with PBE.

Values from the calculation:
total energy: -13.480 eV for the cell shown
theoretical density: 8.60 g/cm³

Cell: 4.315 4.315 4.315 Å, 60.00 60.00 60.00°
Sites, in units of the cell vectors:
Zn1 0.000 0.000 0.000
Zn2 0.250 0.250 0.250
Zn3 0.750 0.750 0.750
Tc1 0.500 0.500 0.500

---

[4]
A geometry-optimized Zn24Tc5 structure, computed with PBE.

Values from the calculation:
total energy: -81.387 eV for the cell shown
theoretical density: 8.24 g/cm³

Cell: 8.138 8.138 8.138 Å, 109.47 109.47 109.47°
Sites, in units of the cell vectors:
Zn1 0.000 0.306 0.596
Zn2 0.000 0.596 0.306
Zn3 0.000 0.623 0.807
Zn4 0.000 0.807 0.623
Zn5 0.185 0.377 0.377
Zn6 0.193 0.193 0.815
Zn7 0.193 0.815 0.193
Zn8 0.290 0.694 0.694
Zn9 0.306 0.000 0.596
Zn10 0.306 0.596 0.000
Zn11 0.377 0.185 0.377
Zn12 0.377 0.377 0.185
Zn13 0.404 0.404 0.710
Zn14 0.404 0.710 0.404
Zn15 0.596 0.000 0.306
Zn16 0.596 0.306 0.000
Zn17 0.623 0.000 0.807
Zn18 0.623 0.807 0.000
Zn19 0.694 0.290 0.694
Zn20 0.694 0.694 0.290
Zn21 0.710 0.404 0.404
Zn22 0.807 0.000 0.623
Zn23 0.807 0.623 0.000
Zn24 0.815 0.193 0.193
Tc1 0.000 0.000 0.000
Tc2 0.000 0.000 0.334
Tc3 0.000 0.334 0.000
Tc4 0.334 0.000 0.000
Tc5 0.666 0.666 0.666

---

[5]
A geometry-optimized ZnTc2 structure, computed with PBE.

Values from the calculation:
total energy: -43.511 eV for the cell shown
theoretical density: 10.18 g/cm³

Cell: 6.675 6.675 3.199 Å, 90.00 90.00 143.23°
Sites, in units of the cell vectors:
Zn1 0.077 0.923 0.750
Zn2 0.923 0.077 0.250
Tc1 0.244 0.756 0.250
Tc2 0.415 0.585 0.750
Tc3 0.585 0.415 0.250
Tc4 0.756 0.244 0.750

---

[6]
A geometry-optimized ZnTc3 structure, computed with PBE.

Values from the calculation:
total energy: -31.580 eV for the cell shown
theoretical density: 10.31 g/cm³

Cell: 4.342 4.342 4.342 Å, 60.00 60.00 60.00°
Sites, in units of the cell vectors:
Zn1 0.000 0.000 0.000
Tc1 0.250 0.250 0.250
Tc2 0.500 0.500 0.500
Tc3 0.750 0.750 0.750

---

[7]
A geometry-optimized Zn3Tc structure, computed with PBE.

Values from the calculation:
total energy: -14.147 eV for the cell shown
theoretical density: 8.49 g/cm³

Cell: 4.822 4.822 2.683 Å, 90.00 90.00 112.69°
Sites, in units of the cell vectors:
Zn1 0.000 0.000 0.000
Zn2 0.000 0.500 0.500
Zn3 0.500 0.000 0.500
Tc1 0.500 0.500 0.000

---

[8]
A geometry-optimized ZnTc2 structure, computed with PBE.

Values from the calculation:
total energy: -18.833 eV for the cell shown
theoretical density: 8.67 g/cm³

Cell: 4.429 4.429 2.553 Å, 90.00 90.00 90.00°
Sites, in units of the cell vectors:
Zn1 0.000 0.000 0.000
Tc1 0.000 0.500 0.500
Tc2 0.500 0.000 0.500

---

> Which value of theoretical density does entry 3 give?

8.60 g/cm³

---

> total energy of number 6 (ZnTc3)?

-31.580 eV for the cell shown

---

> Which value of total energy does entry 1 give?

-34.369 eV for the cell shown